Entry 1:
Below is a geometry-optimized Sc3Zn2Ag4 structure, with properties calculated at the PBE-GGA level.

Lattice parameters (Å, degrees): 4.973 8.485 8.485 75.93 82.06 82.06
Element x y z (fractional)
Sc1 0.085 0.960 0.706
Sc2 0.415 0.294 0.040
Sc3 0.915 0.040 0.294
Sc4 0.585 0.706 0.960
Sc5 0.250 0.373 0.627
Sc6 0.750 0.627 0.373
Zn1 0.644 0.843 0.601
Zn2 0.856 0.399 0.157
Zn3 0.356 0.157 0.399
Zn4 0.144 0.601 0.843
Ag1 0.530 0.063 0.819
Ag2 0.970 0.181 0.937
Ag3 0.470 0.937 0.181
Ag4 0.030 0.819 0.063
Ag5 0.197 0.737 0.490
Ag6 0.303 0.510 0.263
Ag7 0.803 0.263 0.510
Ag8 0.697 0.490 0.737

Computed properties:
energy of formation from the pure elements: -1.76 eV per formula unit
spin magnetization: 0.00 Bohr magnetons per cell

***

Entry 2:
Below is a geometry-optimized Sc4Zn2Ag3 structure, with properties calculated at the PBE-GGA level.

Lattice parameters (Å, degrees): 4.711 4.838 8.736 87.33 90.02 60.86
Site moments in Bohr magnetons follow the coordinates.
Element x y z (fractional)
Sc1 0.662 0.675 0.891  0.00
Sc2 0.013 0.974 0.327  0.14
Sc3 0.987 0.026 0.673  0.14
Sc4 0.338 0.325 0.109  0.00
Zn1 0.319 0.362 0.768  0.01
Zn2 0.681 0.638 0.232  0.01
Ag1 0.337 0.327 0.448  0.01
Ag2 0.000 0.000 0.000  0.00
Ag3 0.663 0.673 0.552  0.01

Computed properties:
energy of formation from the pure elements: -2.17 eV per formula unit
spin magnetization: 0.45 Bohr magnetons per cell

***

Question: Which value of energy of formation from the pure elements does entry 1 give?
Answer: -1.76 eV per formula unit

***

Question: Number 2 is which compound?
Answer: Sc4Zn2Ag3

***

Question: Among the records above, which one has the lowest energy of formation from the pure elements?
Answer: Sc4Zn2Ag3